Entry 1:
GGA-PBE GdThCuSi, relaxed; DFT total energy = -8.080 eV/atom; M_tot = 7.260 μB/f.u.; DOS at the Fermi energy = 0.97 states/eV per atom
1.0
0.0000 3.5648 3.5648
3.5648 0.0000 3.5648
3.5648 3.5648 0.0000
Gd Th Cu Si
1 1 1 1
Cartesian
0.0000 0.0000 0.0000 Gd
3.5648 3.5648 3.5648 Th
1.7824 1.7824 1.7824 Cu
5.3472 5.3472 5.3472 Si

***

Entry 2:
GGA-PBE LiTb3Al, relaxed; M_tot = 0.000 μB/f.u.; DOS at the Fermi energy = 0.93 states/eV per atom; energy relative to the elements = -76 meV/atom; distance to the lowest polymorph of the same formula = 66 meV/atom
1.0
8.1713 0.0000 0.0000
0.0000 6.7283 0.0000
-3.1876 0.0000 9.6704
Li Tb Al
4 12 4
Cartesian
0.1632 1.6833 0.0497 Li
-1.4306 1.6809 4.8849 Li
6.4143 5.0474 4.7855 Li
4.8205 5.0450 9.6208 Li
0.8909 0.0533 2.9653 Tb
-0.7029 3.3109 7.8005 Tb
-0.6918 0.0504 7.8081 Tb
0.9020 3.3137 2.9729 Tb
2.9489 5.0435 0.9658 Tb
1.3551 5.0490 5.8010 Tb
3.6286 1.6793 3.8694 Tb
2.0348 1.6848 8.7047 Tb
4.0817 3.4146 6.6976 Tb
5.6755 6.6778 1.8624 Tb
5.6866 3.4174 1.8699 Tb
4.0928 6.6750 6.7052 Tb
2.8727 1.6816 0.9405 Al
1.2789 1.6825 5.7757 Al
3.7048 5.0458 3.8947 Al
2.1110 5.0466 8.7299 Al

***

Entry 3:
GGA-PBE Y2Ho2Zn, relaxed; M_tot = 0.000 μB/f.u.; DOS at the Fermi energy = 1.76 states/eV per atom; energy relative to the elements = 9 meV/atom; distance to the lowest polymorph of the same formula = 134 meV/atom
1.0
-2.4788 2.4788 12.1432
2.4788 -2.4788 12.1432
2.4788 2.4788 -12.1432
Y Ho Zn
4 4 2
Cartesian
2.4788 1.2394 -4.7988 Y
0.0000 1.2394 1.2728 Y
2.4788 1.2394 10.8704 Y
0.0000 1.2394 16.9420 Y
2.4788 1.2394 -1.3382 Ho
0.0000 1.2394 4.7335 Ho
2.4788 1.2394 7.4098 Ho
0.0000 1.2394 13.4814 Ho
2.4788 -1.2394 9.1074 Zn
0.0000 3.7182 3.0358 Zn

***

Entry 4:
GGA-PBE ScRh4Se, relaxed; DFT total energy = -6.654 eV/atom; M_tot = 0.002 μB/f.u.; DOS at the Fermi energy = 1.69 states/eV per atom
1.0
0.0000 3.6773 3.6773
3.6773 0.0000 3.6773
3.6773 3.6773 0.0000
Sc Rh Se
1 4 1
Cartesian
0.0000 0.0000 0.0000 Sc
2.7592 2.7592 2.7592 Rh
4.5953 4.5953 2.7592 Rh
4.5953 2.7592 4.5953 Rh
2.7592 4.5953 4.5953 Rh
5.5159 5.5159 5.5159 Se

***

Entry 5:
GGA-PBE Ce2PO, relaxed; M_tot = 0.691 μB/f.u.; DOS at the Fermi energy = 1.82 states/eV per atom; distance to the lowest polymorph of the same formula = 94 meV/atom
1.0
3.8889 0.0000 0.0000
0.0000 3.8889 0.0000
0.0000 0.0000 10.6095
Ce P O
4 2 2
Cartesian
0.9722 0.9722 1.1480 Ce
0.9722 0.9722 6.8438 Ce
2.9167 2.9167 3.7656 Ce
2.9167 2.9167 9.4614 Ce
0.9722 0.9722 3.9531 P
2.9167 2.9167 6.6564 P
0.9722 0.9722 9.3641 O
2.9167 2.9167 1.2454 O

***

Entry 6:
GGA-PBE BaMgI4, relaxed; M_tot = 0.000 μB/f.u.; DOS at the Fermi energy = 0.00 states/eV per atom; distance to the lowest polymorph of the same formula = 33 meV/atom
1.0
7.6472 0.0000 0.0000
0.0000 4.5931 0.0000
-0.7113 0.0000 8.3138
Ba Mg I
1 1 4
Cartesian
0.0000 0.0000 0.0000 Ba
-0.3557 2.2965 4.1569 Mg
1.3898 0.0000 3.1655 I
1.2400 2.2965 6.6482 I
5.6960 2.2965 1.6656 I
5.5461 0.0000 5.1483 I

***

Entry 7:
GGA-PBE Tm2BiPd, relaxed; M_tot = 0.000 μB/f.u.; DOS at the Fermi energy = 0.53 states/eV per atom; energy relative to the elements = -693 meV/atom; distance to the lowest polymorph of the same formula = 0 meV/atom
1.0
3.6573 0.0000 0.0000
0.0000 3.6573 0.0000
0.0000 0.0000 7.3700
Tm Bi Pd
2 1 1
Cartesian
0.0000 0.0000 1.6199 Tm
0.0000 0.0000 5.7501 Tm
1.8287 1.8287 3.6850 Bi
1.8287 1.8287 0.0000 Pd

***

Entry 8:
GGA-PBE PuScHgRu, relaxed; M_tot = 5.371 μB/f.u.; DOS at the Fermi energy = 2.66 states/eV per atom; energy relative to the elements = -120 meV/atom; distance to the lowest polymorph of the same formula = 228 meV/atom
1.0
0.0000 3.4761 3.4761
3.4761 0.0000 3.4761
3.4761 3.4761 0.0000
Pu Sc Hg Ru
1 1 1 1
Cartesian
0.0000 0.0000 0.0000 Pu
3.4761 3.4761 3.4761 Sc
1.7381 1.7381 1.7381 Hg
5.2142 5.2142 5.2142 Ru

***

Entry 9:
GGA-PBE RhSeBr2, relaxed; M_tot = 0.004 μB/f.u.; DOS at the Fermi energy = 1.53 states/eV per atom; distance to the lowest polymorph of the same formula = 653 meV/atom
1.0
1.6086 -2.9572 0.0000
1.6086 2.9572 0.0000
0.0000 0.0000 10.4008
Rh Se Br
1 1 2
Cartesian
0.0000 0.0000 0.0000 Rh
0.0000 0.0000 5.2004 Se
1.6086 0.0000 1.8849 Br
1.6086 0.0000 8.5159 Br

***

Entry 10:
GGA-PBE Pm6DyTm8, relaxed; M_tot = 0.000 μB/f.u.; DOS at the Fermi energy = 1.46 states/eV per atom; energy relative to the elements = 125 meV/atom
1.0
4.5065 2.6018 6.9119
-4.5065 2.6018 6.9119
0.0000 -5.2036 6.9119
Pm Dy Tm
6 1 8
Cartesian
-3.0935 -1.1626 9.4564 Pm
-0.5399 -3.2604 11.2792 Pm
-2.5536 2.0978 11.2792 Pm
2.5536 -2.0978 9.4564 Pm
0.5399 3.2604 9.4564 Pm
3.0935 1.1626 11.2792 Pm
0.0000 0.0000 10.3678 Dy
0.0000 0.0000 1.5876 Tm
-0.1354 -1.9715 7.4415 Tm
-1.6396 1.1030 7.4415 Tm
-1.7751 -0.8685 13.2941 Tm
1.7751 0.8685 7.4415 Tm
1.6396 -1.1030 13.2941 Tm
0.1354 1.9715 13.2941 Tm
0.0000 0.0000 19.1480 Tm

***

Entry 11:
GGA-PBE Sr2Nd4Sb3N2, relaxed; DFT total energy = -5.796 eV/atom; M_tot = 0.000 μB/f.u.; DOS at the Fermi energy = 0.35 states/eV per atom
1.0
-2.4635 2.4635 13.0943
2.4635 -2.4635 13.0943
2.4635 2.4635 -13.0943
Sr Nd Sb N
2 4 3 2
Cartesian
0.0000 0.0000 5.1011 Sr
0.0000 0.0000 21.0876 Sr
2.4635 0.0000 2.1875 Nd
2.4635 0.0000 10.9068 Nd
0.0000 2.4635 2.1875 Nd
0.0000 2.4635 10.9068 Nd
0.0000 0.0000 8.5625 Sb
0.0000 0.0000 13.0943 Sb
0.0000 0.0000 17.6261 Sb
0.0000 0.0000 2.5309 N
0.0000 0.0000 23.6577 N

***

Entry 12:
GGA-PBE Ba2AcRh, relaxed; M_tot = 0.000 μB/f.u.; DOS at the Fermi energy = 0.84 states/eV per atom; energy relative to the elements = -326 meV/atom; distance to the lowest polymorph of the same formula = 0 meV/atom
1.0
4.2976 0.0000 0.0000
0.0000 4.2975 0.0000
-0.0106 0.0000 19.4662
Ba Ac Rh
4 2 2
Cartesian
1.0644 0.0000 5.1363 Ba
1.0687 4.2944 17.7810 Ba
3.2183 2.1456 1.6852 Ba
3.2225 2.1488 14.3299 Ba
1.0695 0.0038 11.1553 Ac
3.2174 2.1525 8.3109 Ac
1.0685 0.0046 8.1066 Rh
3.2184 2.1534 11.3596 Rh